A plane-wave DFT calculation with PBE+U was carried out for a geometry-optimized NiHgO2F structure.

Energy = -2.65 eV per atom
Size of the total moment = 0.391 μB/atom
Symmetry = No. 123

Lattice parameters (Å, degrees): 4.199 4.199 4.355 90.00 90.00 90.00
Fractional positions:
1 Ni 0.000 0.000 0.000
2 Hg 0.500 0.500 0.500
3 O 0.000 0.500 0.500
4 O 0.500 0.000 0.500
5 F 0.500 0.500 0.000